1.
## YTeRuS2 (GGA-PBE)

Data for YTeRuS2 after structural relaxation.

Properties
- energy relative to the elements, uncorrected (eV per formula unit) = -1.868
- crystal system = tetragonal

```
YTeRuS2
1.0
4.598 0.000 0.000
0.000 4.598 0.000
0.000 0.000 5.414
Y Te Ru S
1 1 1 2
Cartesian
0.000 0.000 0.000 Y
2.299 2.299 0.000 Te
2.299 2.299 2.707 Ru
0.000 2.299 2.707 S
2.299 0.000 2.707 S
```

=====

2.
## Y2Er2Zn (GGA-PBE)

Data for Y2Er2Zn after structural relaxation.

Properties
- E_form (kJ/mol of atoms) = -11.84
- crystal system = tetragonal

```
Y2Er2Zn
1.0
-1.774 1.774 11.122
1.774 -1.774 11.122
1.774 1.774 -11.122
Y Er Zn
2 2 1
Cartesian
0.000 0.000 1.791 Y
0.000 0.000 20.453 Y
0.000 0.000 6.762 Er
0.000 0.000 15.482 Er
0.000 0.000 11.122 Zn
```

=====

3.
## CrCuP (GGA-PBE)

Data for CrCuP after structural relaxation.

Properties
- E_form (kJ/mol of atoms) = 5.55
- crystal system = trigonal

```
CrCuP
1.0
3.803 0.000 0.000
-1.902 3.294 0.000
0.000 0.000 3.261
Cr Cu P
1 1 1
Cartesian
0.000 0.000 0.000 Cr
1.902 1.098 1.583 Cu
0.000 2.196 1.991 P
```

=====

4.
## K3LiAg2Cl6 (GGA-PBE)

Data for K3LiAg2Cl6 after structural relaxation.

Properties
- energy relative to the elements, uncorrected (eV per formula unit) = -15.504
- crystal system = trigonal

```
K3LiAg2Cl6
1.0
7.676 0.000 0.000
-3.838 6.647 0.000
0.000 0.000 7.874
K Li Ag Cl
3 1 2 6
Cartesian
0.000 0.000 0.000 K
0.000 4.432 4.881 K
3.838 2.216 2.993 K
0.000 0.000 3.937 Li
0.000 4.432 1.585 Ag
3.838 2.216 6.289 Ag
0.000 2.063 2.332 Cl
-2.051 5.616 2.332 Cl
1.787 1.032 5.542 Cl
2.051 5.616 2.332 Cl
5.889 1.032 5.542 Cl
3.838 4.584 5.542 Cl
```

=====

5.
## DyPd8Pt2 (GGA-PBE)

Data for DyPd8Pt2 after structural relaxation.

Properties
- E_form (kJ/mol of atoms) = -31.21
- crystal system = monoclinic

```
DyPd8Pt2
1.0
7.232 -2.019 0.000
7.232 2.019 0.000
-1.602 0.000 6.093
Dy Pd Pt
1 8 2
Cartesian
0.000 0.000 0.000 Dy
0.606 0.000 2.798 Pd
1.220 0.000 5.551 Pd
3.945 0.000 4.945 Pd
6.088 0.000 1.685 Pd
6.774 0.000 4.408 Pd
8.918 0.000 1.148 Pd
11.643 0.000 0.542 Pd
12.256 0.000 3.295 Pd
3.357 0.000 2.229 Pt
9.505 0.000 3.864 Pt
```

=====

6.
## SrTcN3 (GGA-PBE)

Data for SrTcN3 after structural relaxation.

Properties
- energy relative to the elements, uncorrected (eV per formula unit) = -1.330
- crystal system = monoclinic

```
SrTcN3
1.0
5.849 -2.153 0.000
5.849 2.153 0.000
-0.780 0.000 5.793
Sr Tc N
2 2 6
Cartesian
0.000 0.000 0.000 Sr
5.459 -0.052 2.897 Sr
2.922 -1.039 0.911 Tc
7.995 -1.039 4.883 Tc
1.524 0.274 3.345 N
1.248 -0.139 2.196 N
4.253 0.122 0.366 N
6.665 0.122 5.427 N
9.394 0.274 2.449 N
9.670 -0.139 3.598 N
```

=====

7.
## CsSbCl5 (GGA-PBE)

Data for CsSbCl5 after structural relaxation.

Properties
- energy relative to the elements, uncorrected (eV per formula unit) = -7.731
- crystal system = monoclinic

```
CsSbCl5
1.0
6.883 -3.839 0.000
6.883 3.839 0.000
-4.053 0.000 9.742
Cs Sb Cl
2 2 10
Cartesian
5.869 3.839 2.435 Cs
3.843 -3.839 7.306 Cs
6.883 0.000 0.000 Sb
4.856 0.000 4.871 Sb
1.222 1.787 9.079 Cl
3.249 1.785 4.202 Cl
8.490 1.785 0.669 Cl
6.463 1.787 5.533 Cl
3.843 0.007 7.306 Cl
5.869 -0.007 2.435 Cl
3.248 -1.787 4.208 Cl
1.222 -1.785 9.073 Cl
6.463 -1.785 5.540 Cl
8.490 -1.787 0.662 Cl
```

=====

8.
## PrEu3 (GGA-PBE)

Data for PrEu3 after structural relaxation.

Properties
- E_form (kJ/mol of atoms) = 7.01
- crystal system = tetragonal

```
PrEu3
1.0
-2.709 2.709 5.473
2.709 -2.709 5.473
2.709 2.709 -5.473
Pr Eu
1 3
Cartesian
0.000 0.000 0.000 Pr
2.709 0.000 2.737 Eu
0.000 0.000 5.473 Eu
0.000 2.709 2.737 Eu
```

=====

9.
## CsGaTe (GGA-PBE)

Data for CsGaTe after structural relaxation.

Properties
- energy relative to the elements, uncorrected (eV per formula unit) = -1.777
- crystal system = orthorhombic

```
CsGaTe
1.0
8.759 0.000 0.000
0.000 5.891 0.000
0.000 0.000 9.485
Cs Ga Te
4 4 4
Cartesian
0.265 1.473 1.295 Cs
4.114 4.418 6.038 Cs
4.645 1.473 3.447 Cs
8.494 4.418 8.190 Cs
0.010 1.473 5.323 Ga
4.369 4.418 0.581 Ga
4.390 1.473 8.904 Ga
8.749 4.418 4.162 Ga
2.059 1.473 7.263 Te
2.321 4.418 2.520 Te
6.438 1.473 6.965 Te
6.700 4.418 2.222 Te
```

=====

10.
## PmTmIn3 (GGA-PBE)

Data for PmTmIn3 after structural relaxation.

Properties
- E_form (kJ/mol of atoms) = 15.49
- crystal system = tetragonal

```
PmTmIn3
1.0
-2.919 2.919 11.228
2.919 -2.919 11.228
2.919 2.919 -11.228
Pm Tm In
2 2 6
Cartesian
0.000 0.000 0.000 Pm
0.000 2.919 5.614 Pm
0.000 0.000 9.477 Tm
0.000 0.000 12.979 Tm
2.919 0.000 0.135 In
0.000 1.450 2.843 In
2.919 0.000 11.093 In
-1.469 2.919 8.384 In
1.469 2.919 8.384 In
0.000 4.389 2.843 In
```

=====

11.
## RbNa2TlAs (GGA-PBE)

Data for RbNa2TlAs after structural relaxation.

Properties
- E_form (kJ/mol of atoms) = -10.81
- crystal system = tetragonal

```
RbNa2TlAs
1.0
5.648 0.000 0.000
0.000 5.648 0.000
0.000 0.000 6.115
Rb Na Tl As
1 2 1 1
Cartesian
0.000 0.000 0.000 Rb
0.000 2.824 3.058 Na
2.824 0.000 3.058 Na
2.824 2.824 0.000 Tl
2.824 2.824 3.058 As
```

=====

| no. | raw total energy (eV for the cell shown) |
| --- | --- |
| 1 | -29.0 |
| 2 | -23.9 |
| 3 | -19.0 |
| 4 | -37.5 |
| 5 | -61.8 |
| 6 | -76.7 |
| 7 | -43.9 |
| 8 | -35.3 |
| 9 | -35.2 |
| 10 | -33.3 |
| 11 | -11.2 |